The following is a DFT calculation (PBE+U) of an optimized crystal structure of MnSi2PbO6.

Properties
total energy	-7.377	eV/atom
mass density	4.724	g/cm3
space group	C2/c, No. 15

Cell and atoms, written as POSCAR:
```
MnSi2PbO6
1.0
-1.141 -1.241 -5.307
-6.165 -4.095 0.542
-4.257 5.683 -2.154
Mn Si Pb O
2 4 2 12
direct
0.250 0.271 0.729 Mn
0.750 0.729 0.271 Mn
0.299 0.794 0.625 Si
0.201 0.375 0.206 Si
0.701 0.206 0.375 Si
0.799 0.625 0.794 Si
0.250 0.880 0.120 Pb
0.750 0.120 0.880 Pb
0.201 0.992 0.736 O
0.299 0.264 0.008 O
0.799 0.008 0.264 O
0.701 0.736 0.992 O
0.380 0.808 0.401 O
0.120 0.599 0.192 O
0.620 0.192 0.599 O
0.880 0.401 0.808 O
0.066 0.681 0.678 O
0.434 0.322 0.319 O
0.934 0.319 0.322 O
0.566 0.678 0.681 O
```